Density functional theory data (PBE-GGA) for Be9NbRe2 after structural relaxation.

The calculation puts the formation energy at -0.29 eV per atom. For the density, the calculation gives 7.82 g/cm3.

a b c (Å): 7.4069 7.4069 7.4069
angles (deg): 34.46 34.46 34.46
Element x y z (fractional)
Be: 0.0000 0.0000 0.0000
Be: 0.0846 0.0846 0.5790
Be: 0.0846 0.5790 0.0846
Be: 0.1664 0.1664 0.1664
Be: 0.4210 0.9154 0.9154
Be: 0.5790 0.0846 0.0846
Be: 0.8336 0.8336 0.8336
Be: 0.9154 0.4210 0.9154
Be: 0.9154 0.9154 0.4210
Nb: 0.5000 0.5000 0.5000
Re: 0.3545 0.3545 0.3545
Re: 0.6455 0.6455 0.6455

***

Density functional theory data (PBE-GGA) for RbInSN2 after structural relaxation.

For the density, the calculation gives 2.45 g/cm3. The formation energy without anion corrections comes out at 1956 meV/atom.

a b c (Å): 5.2770 5.2770 6.3428
angles (deg): 90.00 90.00 90.00
Element x y z (fractional)
Rb: 0.0000 0.0000 0.0000
In: 0.5000 0.5000 0.5000
S: 0.0000 0.0000 0.5000
N: 0.0000 0.5000 0.0000
N: 0.5000 0.0000 0.0000

***

Density functional theory data (PBE-GGA) for TbLu2Ir after structural relaxation.

The calculation puts the formation energy at -0.16 eV per atom. For the density, the calculation gives 9.60 g/cm3.

a b c (Å): 10.5757 10.5757 10.5757
angles (deg): 20.01 20.01 20.01
Element x y z (fractional)
Tb: 0.0000 0.0000 0.0000
Lu: 0.1135 0.1135 0.1135
Lu: 0.8865 0.8865 0.8865
Ir: 0.5000 0.5000 0.5000

***

Density functional theory data (PBE-GGA) for Tb5Sm5Ho2 after structural relaxation.

The calculation puts the formation energy at 0.02 eV per atom. For the density, the calculation gives 7.99 g/cm3.

a b c (Å): 8.0091 8.0091 11.3309
angles (deg): 115.09 115.09 36.84
Element x y z (fractional)
Tb: 0.0000 0.0000 0.0000
Tb: 0.0824 0.0824 0.7494
Tb: 0.1671 0.1671 0.5004
Tb: 0.8329 0.8329 0.4996
Tb: 0.9176 0.9176 0.2506
Sm: 0.2494 0.2494 0.2504
Sm: 0.3345 0.3345 0.0006
Sm: 0.5000 0.5000 0.5000
Sm: 0.6655 0.6655 0.9994
Sm: 0.7506 0.7506 0.7496
Ho: 0.4166 0.4166 0.7489
Ho: 0.5834 0.5834 0.2511

***

Density functional theory data (PBE-GGA) for AsRuSeN2 after structural relaxation.

For the density, the calculation gives 5.92 g/cm3. The formation energy without anion corrections comes out at 904 meV/atom.

a b c (Å): 3.8138 3.8138 5.4595
angles (deg): 90.00 90.00 90.00
Element x y z (fractional)
As: 0.0000 0.0000 0.0000
Ru: 0.5000 0.5000 0.5000
Se: 0.5000 0.5000 0.0000
N: 0.0000 0.5000 0.5000
N: 0.5000 0.0000 0.5000

***

Density functional theory data (PBE-GGA) for ScBeTcI2 after structural relaxation.

For the density, the calculation gives 4.10 g/cm3. The formation energy without anion corrections comes out at 1136 meV/atom.

a b c (Å): 5.6507 5.6507 5.1487
angles (deg): 90.00 90.00 90.00
Element x y z (fractional)
Sc: 0.0000 0.0000 0.0000
Be: 0.0000 0.0000 0.5000
Tc: 0.5000 0.5000 0.5000
I: 0.0000 0.5000 0.0000
I: 0.5000 0.0000 0.0000

***

Density functional theory data (PBE-GGA) for Tl2GePtSe4 after structural relaxation.

For the density, the calculation gives 6.12 g/cm3. The formation energy without anion corrections comes out at -257 meV/atom.

a b c (Å): 12.4890 10.4626 8.4755
angles (deg): 81.79 56.01 42.20
Element x y z (fractional)
Tl: 0.0315 0.0315 0.7185
Tl: 0.2815 0.2815 0.9685
Tl: 0.7185 0.7185 0.0315
Tl: 0.9685 0.9685 0.2815
Ge: 0.3750 0.3750 0.3750
Ge: 0.6250 0.6250 0.6250
Pt: 0.1250 0.1250 0.1250
Pt: 0.8750 0.8750 0.8750
Se: 0.0033 0.3035 0.4546
Se: 0.2614 0.5454 0.6965
Se: 0.3035 0.0033 0.7386
Se: 0.4546 0.7386 0.0033
Se: 0.5454 0.2614 0.9967
Se: 0.6965 0.9967 0.2614
Se: 0.7386 0.4546 0.3035
Se: 0.9967 0.6965 0.5454

***

Density functional theory data (PBE-GGA) for SmAlCu after structural relaxation.

The calculation puts the formation energy at -0.41 eV per atom. For the density, the calculation gives 6.63 g/cm3.

a b c (Å): 7.1818 7.1818 4.0507
angles (deg): 90.00 90.00 120.00
Element x y z (fractional)
Sm: 0.0000 0.5838 0.0000
Sm: 0.4162 0.4162 0.0000
Sm: 0.5838 0.0000 0.0000
Al: 0.0000 0.2318 0.5000
Al: 0.2318 0.0000 0.5000
Al: 0.7682 0.7682 0.5000
Cu: 0.0000 0.0000 0.0000
Cu: 0.3333 0.6667 0.5000
Cu: 0.6667 0.3333 0.5000

***

Density functional theory data (PBE-GGA) for CsLa2FeW after structural relaxation.

The calculation puts the formation energy at 2.17 eV per atom. For the density, the calculation gives 6.86 g/cm3.

a b c (Å): 5.8438 5.8438 4.6108
angles (deg): 90.00 90.00 90.00
Element x y z (fractional)
Cs: 0.0000 0.0000 0.0000
La: 0.0000 0.5000 0.0000
La: 0.5000 0.0000 0.0000
Fe: 0.0000 0.0000 0.5000
W: 0.5000 0.5000 0.5000

***

Density functional theory data (PBE-GGA) for KAgCl2 after structural relaxation.

For the density, the calculation gives 3.17 g/cm3. The formation energy without anion corrections comes out at -1166 meV/atom.

a b c (Å): 5.2512 5.2512 4.1394
angles (deg): 90.00 90.00 90.00
Element x y z (fractional)
K: 0.0000 0.0000 0.0000
Ag: 0.5000 0.5000 0.5000
Cl: 0.0000 0.5000 0.4296
Cl: 0.5000 0.0000 0.5704

***

Density functional theory data (PBE-GGA) for Y8Ni2Pd after structural relaxation.

The calculation puts the formation energy at -0.29 eV per atom. For the density, the calculation gives 5.49 g/cm3.

a b c (Å): 9.0804 9.0804 6.6626
angles (deg): 105.08 105.08 32.31
Element x y z (fractional)
Y: 0.0375 0.0375 0.2870
Y: 0.2017 0.2017 0.8364
Y: 0.3266 0.3266 0.5149
Y: 0.4083 0.4083 0.0425
Y: 0.5917 0.5917 0.9575
Y: 0.6734 0.6734 0.4851
Y: 0.7983 0.7983 0.1636
Y: 0.9625 0.9625 0.7130
Ni: 0.1849 0.1849 0.2298
Ni: 0.8151 0.8151 0.7702
Pd: 0.5000 0.5000 0.5000

***

Density functional theory data (PBE-GGA) for NdZn5Pt2Au after structural relaxation.

The calculation puts the formation energy at -0.27 eV per atom. For the density, the calculation gives 9.93 g/cm3.

a b c (Å): 4.8759 4.8759 7.4416
angles (deg): 90.00 90.00 90.00
Element x y z (fractional)
Nd: 0.0000 0.0000 0.0000
Zn: 0.0000 0.5000 0.3049
Zn: 0.0000 0.5000 0.6951
Zn: 0.5000 0.0000 0.3049
Zn: 0.5000 0.0000 0.6951
Zn: 0.5000 0.5000 0.0000
Pt: 0.5000 0.5000 0.3193
Pt: 0.5000 0.5000 0.6807
Au: 0.0000 0.0000 0.5000

***

What did the tenth record say?
Density functional theory data (PBE-GGA) for KAgCl2 after structural relaxation.

For the density, the calculation gives 3.17 g/cm3. The formation energy without anion corrections comes out at -1166 meV/atom.

a b c (Å): 5.2512 5.2512 4.1394
angles (deg): 90.00 90.00 90.00
Element x y z (fractional)
K: 0.0000 0.0000 0.0000
Ag: 0.5000 0.5000 0.5000
Cl: 0.0000 0.5000 0.4296
Cl: 0.5000 0.0000 0.5704

***

Q: What is the formula in the first record?
A: Be9NbRe2